Record 1
First-principles (PBE-GGA) data for a geometry-optimized SiHgRu2 structure, as listed in Alexandria via LeMat-Bulk.

The structure in POSCAR format:
```
SiHgRu2
1.0
-1.456 1.623 7.047
1.456 -1.623 7.047
1.456 1.623 -7.047
Si Hg Ru
1 1 2
direct
0.000 0.000 0.000
0.258 0.758 0.500
0.431 0.431 0.000
0.618 0.118 0.500
```

- raw formation energy (meV per atom) = 60
- total magnetization (μB per atom) = 0.00
- final energy (eV per atom) = -6.009
- E above lowest polymorph (eV/atom) = 0.143

---

Record 2
First-principles (PBE-GGA) data for a geometry-optimized SiHg4Ru structure, as listed in Alexandria via LeMat-Bulk.

The structure in POSCAR format:
```
SiHg4Ru
1.0
0.000 4.003 4.003
4.003 0.000 4.003
4.003 4.003 0.000
Si Hg Ru
1 4 1
direct
0.000 0.000 0.000
0.126 0.625 0.625
0.625 0.126 0.625
0.625 0.625 0.126
0.625 0.625 0.625
0.250 0.250 0.250
```

- raw formation energy (meV per atom) = 899
- total magnetization (μB per atom) = 0.09
- final energy (eV per atom) = -1.752

---

Record 3
First-principles (PBE-GGA) data for a geometry-optimized SiHgRu2 structure, as listed in Alexandria via LeMat-Bulk.

The structure in POSCAR format:
```
SiHgRu2
1.0
2.954 0.000 0.000
0.000 2.954 0.000
0.000 0.000 6.920
Si Hg Ru
1 1 2
direct
0.000 0.000 0.000
0.000 0.000 0.500
0.500 0.500 0.197
0.500 0.500 0.803
```

- raw formation energy (meV per atom) = -84
- total magnetization (μB per atom) = 0.10
- final energy (eV per atom) = -6.153
- E above lowest polymorph (eV/atom) = 0.000

---

Record 4
First-principles (PBE-GGA) data for a geometry-optimized Si2HgRu2 structure, as listed in Alexandria via LeMat-Bulk.

The structure in POSCAR format:
```
Si2HgRu2
1.0
7.158 0.000 0.000
0.000 7.158 0.000
0.000 0.000 2.910
Si Hg Ru
4 2 4
direct
0.142 0.358 0.000
0.358 0.858 0.000
0.642 0.142 0.000
0.858 0.642 0.000
0.000 0.000 0.500
0.500 0.500 0.500
0.148 0.648 0.500
0.352 0.148 0.500
0.648 0.852 0.500
0.852 0.352 0.500
```

- raw formation energy (meV per atom) = -239
- total magnetization (μB per atom) = 0.00
- final energy (eV per atom) = -6.179
- E above lowest polymorph (eV/atom) = 0.032

---

Record 5
First-principles (PBE-GGA) data for a geometry-optimized SrSi2HgRu structure, as listed in Alexandria via LeMat-Bulk.

The structure in POSCAR format:
```
SrSi2HgRu
1.0
4.659 0.000 0.000
0.000 4.659 0.000
0.000 0.000 5.283
Sr Si Hg Ru
1 2 1 1
direct
0.000 0.000 0.000
0.000 0.500 0.500
0.500 0.000 0.500
0.500 0.500 0.000
0.500 0.500 0.500
```

- raw formation energy (meV per atom) = -82
- total magnetization (μB per atom) = 0.00
- final energy (eV per atom) = -4.504

---

Record 6
First-principles (PBE-GGA) data for a geometry-optimized TaSiHgRu2 structure, as listed in Alexandria via LeMat-Bulk.

The structure in POSCAR format:
```
TaSiHgRu2
1.0
4.690 0.000 0.000
0.000 4.690 0.000
0.000 0.000 5.334
Ta Si Hg Ru
1 1 1 2
direct
0.000 0.000 0.000
0.500 0.500 0.500
0.000 0.000 0.500
0.000 0.500 0.000
0.500 0.000 0.000
```

- raw formation energy (meV per atom) = 1577
- total magnetization (μB per atom) = 0.00
- final energy (eV per atom) = -5.649

---

Record 7
First-principles (PBE-GGA) data for a geometry-optimized ZrSiHg2Ru structure, as listed in Alexandria via LeMat-Bulk.

The structure in POSCAR format:
```
ZrSiHg2Ru
1.0
5.195 0.000 0.000
0.000 5.195 0.000
0.000 0.000 4.797
Zr Si Hg Ru
1 1 2 1
direct
0.000 0.000 0.000
0.500 0.500 0.000
0.000 0.500 0.500
0.500 0.000 0.500
0.000 0.000 0.500
```

- raw formation energy (meV per atom) = 759
- total magnetization (μB per atom) = 0.00
- final energy (eV per atom) = -4.011

---

Record 8
First-principles (PBE-GGA) data for a geometry-optimized Sm2HgRu structure, as listed in Alexandria via LeMat-Bulk.

The structure in POSCAR format:
```
Sm2HgRu
1.0
1.995 1.152 7.979
-1.995 1.152 7.979
0.000 -2.304 7.979
Sm Hg Ru
2 1 1
direct
0.233 0.233 0.233
0.767 0.767 0.767
0.000 0.000 0.000
0.500 0.500 0.500
```

- total magnetization (μB per atom) = 0.00
- formation energy from the elements (meV per atom) = -232
- final energy (eV per atom) = -4.986
- E above lowest polymorph (eV/atom) = 0.146

---

Record 9
First-principles (PBE-GGA) data for a geometry-optimized Sm8HgRu2 structure, as listed in Alexandria via LeMat-Bulk.

The structure in POSCAR format:
```
Sm8HgRu2
1.0
4.397 -6.666 0.000
4.397 6.666 0.000
-1.370 0.000 5.462
Sm Hg Ru
8 1 2
direct
0.070 0.328 0.574
0.246 0.754 0.000
0.328 0.070 0.574
0.385 0.385 0.199
0.615 0.615 0.801
0.672 0.930 0.426
0.754 0.246 0.000
0.930 0.672 0.426
0.000 0.000 0.000
0.305 0.695 0.500
0.695 0.305 0.500
```

- total magnetization (μB per atom) = 0.00
- formation energy from the elements (meV per atom) = -159
- final energy (eV per atom) = -5.305

---

Record 10
First-principles (PBE-GGA) data for a geometry-optimized Sm2HgRu structure, as listed in Alexandria via LeMat-Bulk.

The structure in POSCAR format:
```
Sm2HgRu
1.0
3.542 0.000 0.000
0.000 3.542 0.000
0.000 0.000 7.711
Sm Hg Ru
2 1 1
direct
0.000 0.000 0.220
0.000 0.000 0.780
0.500 0.500 0.500
0.500 0.500 0.000
```

- total magnetization (μB per atom) = 0.00
- formation energy from the elements (meV per atom) = -378
- final energy (eV per atom) = -5.132
- E above lowest polymorph (eV/atom) = 0.000

---

Record 11
First-principles (PBE-GGA) data for a geometry-optimized Sm12Hg6Ru structure, as listed in Alexandria via LeMat-Bulk.

The structure in POSCAR format:
```
Sm12Hg6Ru
1.0
6.126 3.537 4.486
-6.126 3.537 4.486
0.000 -7.073 4.486
Sm Hg Ru
12 6 1
direct
0.042 0.926 0.700
0.074 0.300 0.958
0.185 0.414 0.531
0.300 0.958 0.074
0.414 0.531 0.185
0.469 0.815 0.586
0.531 0.185 0.414
0.586 0.469 0.815
0.700 0.042 0.926
0.815 0.586 0.469
0.926 0.700 0.042
0.958 0.074 0.300
0.151 0.763 0.357
0.237 0.643 0.849
0.357 0.151 0.763
0.643 0.849 0.237
0.763 0.357 0.151
0.849 0.237 0.643
0.500 0.500 0.500
```

- total magnetization (μB per atom) = 0.00
- formation energy from the elements (meV per atom) = -233
- final energy (eV per atom) = -3.797

---

Record 12
First-principles (PBE-GGA) data for a geometry-optimized Sm6Hg3Ru structure, as listed in Alexandria via LeMat-Bulk.

The structure in POSCAR format:
```
Sm6Hg3Ru
1.0
9.153 0.000 0.000
0.000 5.414 0.000
-3.475 0.000 10.980
Sm Hg Ru
12 6 2
direct
0.027 0.250 0.411
0.180 0.750 0.162
0.276 0.250 0.997
0.351 0.750 0.836
0.380 0.250 0.349
0.394 0.250 0.650
0.606 0.750 0.350
0.620 0.750 0.651
0.649 0.250 0.164
0.724 0.750 0.003
0.820 0.250 0.838
0.973 0.750 0.589
0.002 0.750 0.869
0.087 0.250 0.713
0.276 0.750 0.472
0.724 0.250 0.528
0.913 0.750 0.287
0.998 0.250 0.131
0.459 0.750 0.094
0.541 0.250 0.906
```

- total magnetization (μB per atom) = 0.00
- formation energy from the elements (meV per atom) = -328
- final energy (eV per atom) = -4.178
- E above lowest polymorph (eV/atom) = 0.000

---

Record 13
First-principles (PBE-GGA) data for a geometry-optimized Sm4Hg3Ru structure, as listed in Alexandria via LeMat-Bulk.

The structure in POSCAR format:
```
Sm4Hg3Ru
1.0
3.625 0.000 0.000
0.000 3.625 0.000
0.000 0.000 15.636
Sm Hg Ru
4 3 1
direct
0.000 0.000 0.106
0.000 0.000 0.371
0.000 0.000 0.629
0.000 0.000 0.894
0.500 0.500 0.244
0.500 0.500 0.500
0.500 0.500 0.756
0.500 0.500 0.000
```

- total magnetization (μB per atom) = 0.05
- formation energy from the elements (meV per atom) = -413
- final energy (eV per atom) = -4.045

---

Record 14
First-principles (PBE-GGA) data for a geometry-optimized Sm5Hg2Ru structure, as listed in Alexandria via LeMat-Bulk.

The structure in POSCAR format:
```
Sm5Hg2Ru
1.0
7.794 0.000 0.000
0.000 12.017 0.000
0.000 0.000 4.839
Sm Hg Ru
10 4 2
direct
0.000 0.000 0.000
0.146 0.298 0.000
0.180 0.577 0.500
0.320 0.077 0.500
0.354 0.798 0.000
0.500 0.500 0.000
0.646 0.202 0.000
0.680 0.923 0.500
0.820 0.423 0.500
0.854 0.702 0.000
0.072 0.835 0.500
0.428 0.335 0.500
0.572 0.665 0.500
0.928 0.165 0.500
0.000 0.500 0.000
0.500 0.000 0.000
```

- total magnetization (μB per atom) = 0.00
- formation energy from the elements (meV per atom) = -353
- final energy (eV per atom) = -4.537
- E above lowest polymorph (eV/atom) = 0.000

---

Record 15
First-principles (PBE-GGA) data for a geometry-optimized Sm4Hg2Ru structure, as listed in Alexandria via LeMat-Bulk.

The structure in POSCAR format:
```
Sm4Hg2Ru
1.0
5.631 -2.309 0.000
5.631 2.309 0.000
-4.468 0.000 7.544
Sm Hg Ru
4 2 1
direct
0.070 0.070 0.348
0.330 0.330 0.937
0.670 0.670 0.063
0.930 0.930 0.652
0.352 0.352 0.331
0.648 0.648 0.669
0.000 0.000 0.000
```

- total magnetization (μB per atom) = 0.00
- formation energy from the elements (meV per atom) = -351
- final energy (eV per atom) = -4.459
- E above lowest polymorph (eV/atom) = 0.000

---

Record 16
First-principles (PBE-GGA) data for a geometry-optimized Sm4HgRu2 structure, as listed in Alexandria via LeMat-Bulk.

The structure in POSCAR format:
```
Sm4HgRu2
1.0
2.581 -4.475 0.000
2.581 4.475 0.000
0.000 0.000 15.136
Sm Hg Ru
8 2 4
direct
0.000 0.000 0.000
0.000 0.000 0.500
0.333 0.667 0.621
0.333 0.667 0.879
0.334 0.666 0.250
0.666 0.334 0.750
0.667 0.333 0.121
0.667 0.333 0.379
0.001 0.999 0.250
0.999 0.001 0.750
0.334 0.666 0.061
0.334 0.666 0.439
0.666 0.334 0.561
0.666 0.334 0.939
```

- total magnetization (μB per atom) = 0.00
- formation energy from the elements (meV per atom) = -221
- final energy (eV per atom) = -5.611
- E above lowest polymorph (eV/atom) = 0.034

---

Record 17
First-principles (PBE-GGA) data for a geometry-optimized Sm6Hg3Ru structure, as listed in Alexandria via LeMat-Bulk.

The structure in POSCAR format:
```
Sm6Hg3Ru
1.0
6.160 3.556 4.607
-6.160 3.556 4.607
0.000 -7.113 4.607
Sm Hg Ru
12 6 2
direct
0.038 0.922 0.688
0.078 0.312 0.962
0.188 0.422 0.538
0.312 0.962 0.078
0.422 0.538 0.188
0.462 0.812 0.578
0.538 0.188 0.422
0.578 0.462 0.812
0.688 0.038 0.922
0.812 0.578 0.462
0.922 0.688 0.038
0.962 0.078 0.312
0.149 0.750 0.351
0.250 0.649 0.851
0.351 0.149 0.750
0.649 0.851 0.250
0.750 0.351 0.149
0.851 0.250 0.649
0.000 0.000 0.000
0.500 0.500 0.500
```

- total magnetization (μB per atom) = 0.00
- formation energy from the elements (meV per atom) = -265
- final energy (eV per atom) = -4.114
- E above lowest polymorph (eV/atom) = 0.064

---

Record 18
First-principles (PBE-GGA) data for a geometry-optimized Sm7Hg2Ru2 structure, as listed in Alexandria via LeMat-Bulk.

The structure in POSCAR format:
```
Sm7Hg2Ru2
1.0
-1.945 8.190 4.856
1.945 -8.190 4.856
1.945 8.190 -4.856
Sm Hg Ru
7 2 2
direct
0.000 0.000 0.000
0.295 0.426 0.869
0.304 0.623 0.681
0.557 0.426 0.131
0.616 0.267 0.349
0.918 0.267 0.651
0.942 0.623 0.319
0.267 0.767 0.500
0.675 0.675 0.000
0.174 0.931 0.243
0.688 0.931 0.757
```

- total magnetization (μB per atom) = 0.00
- formation energy from the elements (meV per atom) = -299
- final energy (eV per atom) = -5.043
- E above lowest polymorph (eV/atom) = 0.000

---

Record 19
First-principles (PBE-GGA) data for a geometry-optimized Sm5Hg2Ru2 structure, as listed in Alexandria via LeMat-Bulk.

The structure in POSCAR format:
```
Sm5Hg2Ru2
1.0
8.053 -3.810 0.000
8.053 3.810 0.000
0.000 0.000 7.802
Sm Hg Ru
10 4 4
direct
0.000 0.000 0.000
0.048 0.713 0.669
0.213 0.548 0.169
0.287 0.952 0.669
0.452 0.787 0.169
0.500 0.500 0.500
0.548 0.213 0.831
0.713 0.048 0.331
0.787 0.452 0.831
0.952 0.287 0.331
0.215 0.215 0.000
0.285 0.285 0.500
0.715 0.715 0.500
0.785 0.785 0.000
0.132 0.868 0.366
0.368 0.632 0.866
0.632 0.368 0.134
0.868 0.132 0.634
```

- total magnetization (μB per atom) = 0.00
- formation energy from the elements (meV per atom) = -361
- final energy (eV per atom) = -5.111

---

Record 20
First-principles (PBE-GGA) data for a geometry-optimized Sm3Hg2Ru structure, as listed in Alexandria via LeMat-Bulk.

The structure in POSCAR format:
```
Sm3Hg2Ru
1.0
8.980 -2.694 0.000
8.980 2.694 0.000
-2.808 0.000 6.547
Sm Hg Ru
6 4 2
direct
0.001 0.999 0.750
0.363 0.363 0.364
0.363 0.363 0.864
0.637 0.637 0.136
0.637 0.637 0.636
0.999 0.001 0.250
0.194 0.195 0.945
0.195 0.194 0.445
0.805 0.806 0.555
0.806 0.805 0.055
0.499 0.501 0.250
0.501 0.499 0.750
```

- total magnetization (μB per atom) = 0.00
- formation energy from the elements (meV per atom) = -362
- final energy (eV per atom) = -4.368
- E above lowest polymorph (eV/atom) = 0.035

---

Record 21
First-principles (PBE-GGA) data for a geometry-optimized Sm6Hg2Ru structure, as listed in Alexandria via LeMat-Bulk.

The structure in POSCAR format:
```
Sm6Hg2Ru
1.0
7.114 0.000 0.000
0.000 7.461 0.000
-7.109 0.000 10.415
Sm Hg Ru
12 4 2
direct
0.134 0.194 0.449
0.134 0.306 0.949
0.254 0.690 0.448
0.254 0.810 0.948
0.358 0.008 0.248
0.358 0.492 0.748
0.642 0.508 0.252
0.642 0.992 0.752
0.746 0.190 0.052
0.746 0.310 0.552
0.866 0.694 0.051
0.866 0.806 0.551
0.212 0.091 0.748
0.212 0.409 0.248
0.788 0.591 0.752
0.788 0.909 0.252
0.500 0.000 0.500
0.500 0.500 0.000
```

- total magnetization (μB per atom) = 0.00
- formation energy from the elements (meV per atom) = -249
- final energy (eV per atom) = -4.493
- E above lowest polymorph (eV/atom) = 0.057

---

Record 22
First-principles (PBE-GGA) data for a geometry-optimized Sm2HgRu structure, as listed in Alexandria via LeMat-Bulk.

The structure in POSCAR format:
```
Sm2HgRu
1.0
2.047 1.182 7.643
-2.047 1.182 7.643
0.000 -2.364 7.643
Sm Hg Ru
2 1 1
direct
0.000 0.000 0.000
0.203 0.203 0.203
0.436 0.436 0.436
0.600 0.600 0.600
```

- total magnetization (μB per atom) = 0.00
- formation energy from the elements (meV per atom) = -235
- final energy (eV per atom) = -4.989
- E above lowest polymorph (eV/atom) = 0.143